No. 1
A plane-wave DFT calculation with PBE was carried out for an optimized crystal structure of NpCuHgCl6.

Summary:
Its volume is 324 Å³/f.u. The calculation puts the total energy at -4.218 eV per atom. For the density of states at the Fermi level, the calculation gives 7.7 states/eV/f.u. For the uncorrected formation energy, the calculation gives -1.060 eV per atom.

Lattice parameters (Å, degrees): 6.3911 6.3900 9.1573 89.99 89.99 60.01
Sites, in units of the cell vectors:
Np 0.6667 0.6667 0.5000
Cu 0.3332 0.3334 0.5000
Hg 0.0000 0.9999 0.0000
Cl 0.0061 0.3482 0.3400
Cl 0.3482 0.0062 0.6600
Cl 0.6457 0.3482 0.6600
Cl 0.0061 0.6457 0.6600
Cl 0.3482 0.6456 0.3400
Cl 0.6456 0.0062 0.3399


No. 2
A plane-wave DFT calculation with PBE was carried out for an optimized crystal structure of CuHgPCl2.

Summary:
Its volume is 108 Å³/f.u. The calculation puts the total energy at -2.478 eV per atom. For the density of states at the Fermi level, the calculation gives 4.8 states/eV/f.u. For the uncorrected formation energy, the calculation gives 0.222 eV per atom.

Lattice parameters (Å, degrees): 4.5036 4.5036 5.3163 90.00 90.00 90.00
Sites, in units of the cell vectors:
P 0.0000 0.0000 0.5000
Hg 0.5000 0.5000 0.5000
Cu 0.0000 0.0000 0.0000
Cl 0.0000 0.5000 0.0000
Cl 0.5000 0.0000 0.0000


- What is the volume in the first record?
  324 Å³/f.u.


Please write out number 2 again, unchanged.
A plane-wave DFT calculation with PBE was carried out for an optimized crystal structure of CuHgPCl2.

Summary:
Its volume is 108 Å³/f.u. The calculation puts the total energy at -2.478 eV per atom. For the density of states at the Fermi level, the calculation gives 4.8 states/eV/f.u. For the uncorrected formation energy, the calculation gives 0.222 eV per atom.

Lattice parameters (Å, degrees): 4.5036 4.5036 5.3163 90.00 90.00 90.00
Sites, in units of the cell vectors:
P 0.0000 0.0000 0.5000
Hg 0.5000 0.5000 0.5000
Cu 0.0000 0.0000 0.0000
Cl 0.0000 0.5000 0.0000
Cl 0.5000 0.0000 0.0000